one.
The following is a DFT calculation (PBE-GGA) of crystalline La2ZnNiH at its relaxed geometry.

abc: 6.383 4.330 7.804
angles: 90.00 104.25 90.00
Space group P2_1/m (No. 11)
Asymmetric unit:
La: 0.230 0.250 0.417 (multiplicity 2)
La: 0.237 0.250 0.968 (multiplicity 2)
Zn: 0.339 0.750 0.713 (multiplicity 2)
Ni: 0.436 0.750 0.234 (multiplicity 2)
H: 0.170 0.750 0.178 (multiplicity 2)

two.
The following is a DFT calculation (PBE-GGA) of crystalline La2ZnNiH at its relaxed geometry.

abc: 5.190 5.190 3.609
angles: 90.00 90.00 90.00
Space group P4/mmm (No. 123)
Asymmetric unit:
La: 0.000 0.500 0.000 (multiplicity 2)
Zn: 0.000 0.000 0.500 (multiplicity 1)
Ni: 0.500 0.500 0.500 (multiplicity 1)
H: 0.500 0.500 0.000 (multiplicity 1)

The structure with the least stability is two.

one.
The following is a DFT calculation (PBE-GGA) of crystalline LaHO at its relaxed geometry.

abc: 3.8805 3.8805 4.8452
angles: 90.00 90.00 120.00
Space group P3m1 (No. 156)
Asymmetric unit:
La: 0.0000 0.0000 0.0000 (multiplicity 1)
H: 0.6667 0.3333 0.7406 (multiplicity 1)
O: 0.3333 0.6667 0.1154 (multiplicity 1)

two.
The following is a DFT calculation (PBE-GGA) of crystalline LaHO at its relaxed geometry.

abc: 3.563 3.390 8.095
angles: 90.00 90.00 90.00
Space group Amm2 (No. 38)
Asymmetric unit:
La: 0.000 0.000 0.000 (multiplicity 2)
H: 0.000 0.000 0.290 (multiplicity 2)
O: 0.500 0.000 0.544 (multiplicity 2)

The structure with the least stability is two.

one.
The following is a DFT calculation (PBE-GGA) of crystalline LaZnH2O at its relaxed geometry.

abc: 4.523 3.767 8.058
angles: 90.00 90.00 90.00
Space group Amm2 (No. 38)
Asymmetric unit:
La: 0.000 0.000 0.000 (multiplicity 2)
Zn: 0.500 0.000 0.681 (multiplicity 2)
H: 0.500 0.000 0.141 (multiplicity 2)
H: 0.500 0.000 0.887 (multiplicity 2)
O: 0.000 0.000 0.686 (multiplicity 2)

two.
The following is a DFT calculation (PBE-GGA) of crystalline LaZnH2O at its relaxed geometry.

abc: 5.998 3.979 6.864
angles: 90.00 90.00 90.00
Space group Amm2 (No. 38)
Asymmetric unit:
La: 0.000 0.000 0.000 (multiplicity 2)
Zn: 0.500 0.000 0.329 (multiplicity 2)
H: 0.240 0.000 0.333 (multiplicity 4)
O: 0.000 0.000 0.666 (multiplicity 2)

The structure with the least stability is one.

one.
The following is a DFT calculation (PBE-GGA) of crystalline LaZnH2O at its relaxed geometry.

abc: 6.200 4.532 5.030
angles: 90.00 110.36 90.00
Space group Cm (No. 8)
Asymmetric unit:
La: 0.000 0.000 0.000 (multiplicity 2)
Zn: 0.012 0.500 0.519 (multiplicity 2)
H: 0.266 0.249 0.550 (multiplicity 4)
O: 0.391 0.000 0.084 (multiplicity 2)

two.
The following is a DFT calculation (PBE-GGA) of crystalline LaZnH2O at its relaxed geometry.

abc: 6.897 3.824 5.657
angles: 90.00 107.86 90.00
Space group Cm (No. 8)
Asymmetric unit:
La: 0.000 0.000 0.000 (multiplicity 2)
Zn: 0.410 0.000 0.532 (multiplicity 2)
H: 0.128 0.500 0.812 (multiplicity 2)
H: 0.371 0.500 0.553 (multiplicity 2)
O: 0.380 0.000 0.166 (multiplicity 2)

The structure with the least stability is one.